Material: LiHo3Pb12
Method: DFT, PBE-GGA
State: optimized geometry

Unit cell a=4.833 b=4.833 c=19.698 alpha=90.00 beta=90.00 gamma=90.00
Fractional positions:
Pb (0.500, 0.000, 0.375)
Pb (0.500, 0.500, 0.500)
Pb (0.500, 0.500, 0.247)
Pb (0.500, 0.500, 0.000)
Pb (0.500, 0.500, 0.753)
Pb (0.500, 0.000, 0.625)
Pb (0.500, 0.000, 0.122)
Pb (0.000, 0.500, 0.878)
Pb (0.000, 0.500, 0.375)
Pb (0.000, 0.500, 0.122)
Pb (0.500, 0.000, 0.878)
Pb (0.000, 0.500, 0.625)
Li (0.000, 0.000, 0.000)
Ho (0.000, 0.000, 0.253)
Ho (0.000, 0.000, 0.747)
Ho (0.000, 0.000, 0.500)

Theoretical density (g cm⁻³): 10.8
ΔE_f (eV/atom): -0.2266



Material: K2CaSb
Method: DFT, PBE-GGA
State: optimized geometry

Unit cell a=4.957 b=4.957 c=5.924 alpha=90.00 beta=90.00 gamma=90.12
Last column: magnetic moment on the atom in μB.
Fractional positions:
K (0.000, 0.000, 0.000)  0.04
K (0.500, 0.500, 0.000)  0.04
Ca (0.000, 0.500, 0.500)  0.09
Sb (0.500, 0.000, 0.500)  0.03

E_form (uncorrected) (eV/atom): -0.316
Theoretical density (g cm⁻³): 2.7



Material: Sm6TlCo2I3
Method: DFT, PBE-GGA
State: optimized geometry

Unit cell a=4.058 b=9.522 c=10.290 alpha=108.94 beta=101.37 gamma=90.00
Fractional positions:
Sm (0.962, 0.733, 0.924)
Sm (0.315, 0.439, 0.630)
Sm (0.685, 0.561, 0.370)
Sm (0.332, 0.844, 0.665)
Sm (0.038, 0.267, 0.076)
Sm (0.668, 0.156, 0.335)
I (0.163, 0.840, 0.327)
I (0.500, 0.500, 0.000)
I (0.837, 0.160, 0.673)
Co (0.174, 0.354, 0.349)
Co (0.826, 0.646, 0.651)
Tl (0.500, 0.000, 0.000)

E_form (uncorrected) (eV/atom): -0.590
Theoretical density (g cm⁻³): 7.2



Material: Sm12CdFe6
Method: DFT, PBE-GGA
State: optimized geometry

Unit cell a=8.585 b=8.585 c=8.585 alpha=109.47 beta=109.47 gamma=109.47
Last column: magnetic moment on the atom in μB.
Fractional positions:
Sm (0.496, 0.196, 0.300)  -0.13
Sm (0.196, 0.700, 0.895)  -0.13
Sm (0.196, 0.300, 0.496)  -0.13
Sm (0.300, 0.105, 0.804)  -0.13
Sm (0.804, 0.300, 0.105)  -0.13
Sm (0.700, 0.895, 0.196)  -0.13
Sm (0.804, 0.700, 0.504)  -0.13
Sm (0.300, 0.496, 0.196)  -0.13
Sm (0.504, 0.804, 0.700)  -0.13
Sm (0.895, 0.196, 0.700)  -0.13
Sm (0.700, 0.504, 0.804)  -0.13
Sm (0.105, 0.804, 0.300)  -0.13
Cd (0.000, 0.000, 0.000)  -0.01
Fe (0.392, 0.500, 0.892)  1.44
Fe (0.500, 0.892, 0.392)  1.44
Fe (0.608, 0.500, 0.108)  1.44
Fe (0.892, 0.392, 0.500)  1.44
Fe (0.108, 0.608, 0.500)  1.44
Fe (0.500, 0.108, 0.608)  1.44

Theoretical density (g cm⁻³): 7.7
ΔE_f (eV/atom): 0.0124



| no. | magnetization (μB/f.u.) |
| --- | --- |
| 1 | 0.0 |
| 2 | 0.9 |
| 3 | 0.0 |
| 4 | 5.9 |